First-principles (PBE-GGA) data for CaAlBr2 after structural relaxation, as listed in the Alexandria database.

For the total energy, the calculation gives -3.07 eV/atom. The calculation puts the formation energy from raw total energies at -0.80 eV per atom. The calculation puts the polymorph energy (0 for the lowest one) at 174.4 meV/atom.

It has space group I-42d (No. 122), with a = 8.401 Å, b = 8.401 Å, c = 7.272 Å, α = 90.00°, β = 90.00° and γ = 90.00°. Symmetry generates all atoms from Ca at (0.000, 0.000, 0.000), Al at (0.000, 0.000, 0.500) and Br at (0.210, 0.250, 0.125).